No. 1
An optimized crystal structure of CsNa6Sn, computed with PBE.

Properties
E_form: 0.3 eV per formula unit
Total DFT energy (no corrections): -12.478 eV for the cell shown
Size of the total moment: 0.0 μB per formula unit

a = 7.483 Å, b = 7.483 Å, c = 7.483 Å
α = 69.96°, β = 69.96°, γ = 69.96°
Element x y z (fractional)
Cs 0.000 0.000 0.000
Na 0.042 0.627 0.627
Na 0.373 0.373 0.958
Na 0.373 0.958 0.373
Na 0.627 0.042 0.627
Na 0.627 0.627 0.042
Na 0.958 0.373 0.373
Sn 0.500 0.500 0.500


No. 2
An optimized crystal structure of CsNa2Sn2, computed with PBE.

Properties
Energy above the most stable polymorph in this dataset: 0 meV/atom
E_form: -0.8 eV per formula unit
Total DFT energy (no corrections): -24.645 eV for the cell shown
Size of the total moment: 0.0 μB per formula unit

a = 14.862 Å, b = 4.724 Å, c = 6.306 Å
α = 90.00°, β = 100.59°, γ = 90.00°
Element x y z (fractional)
Cs 0.000 0.000 0.000
Cs 0.500 0.500 0.000
Na 0.175 0.500 0.583
Na 0.325 0.000 0.417
Na 0.675 0.000 0.583
Na 0.825 0.500 0.417
Sn 0.216 0.500 0.100
Sn 0.284 0.000 0.900
Sn 0.716 0.000 0.100
Sn 0.784 0.500 0.900


No. 3
An optimized crystal structure of CsNa2Sn2, computed with PBE.

Properties
Energy above the most stable polymorph in this dataset: 49 meV/atom
E_form: -0.6 eV per formula unit
Total DFT energy (no corrections): -24.159 eV for the cell shown
Size of the total moment: 0.0 μB per formula unit

a = 9.581 Å, b = 9.581 Å, c = 3.612 Å
α = 90.00°, β = 90.00°, γ = 90.00°
Element x y z (fractional)
Cs 0.000 0.000 0.000
Cs 0.500 0.500 0.000
Na 0.173 0.327 0.000
Na 0.327 0.827 0.000
Na 0.673 0.173 0.000
Na 0.827 0.673 0.000
Sn 0.111 0.611 0.500
Sn 0.389 0.111 0.500
Sn 0.611 0.889 0.500
Sn 0.889 0.389 0.500


No. 4
An optimized crystal structure of CsNa2Sn2, computed with PBE.

Properties
Energy above the most stable polymorph in this dataset: 51 meV/atom
E_form: -0.6 eV per formula unit
Total DFT energy (no corrections): -24.130 eV for the cell shown
Size of the total moment: 0.0 μB per formula unit

a = 9.622 Å, b = 9.622 Å, c = 3.756 Å
α = 90.00°, β = 90.00°, γ = 90.00°
Element x y z (fractional)
Cs 0.000 0.000 0.000
Cs 0.500 0.500 0.000
Na 0.175 0.325 0.500
Na 0.325 0.825 0.500
Na 0.675 0.175 0.500
Na 0.825 0.675 0.500
Sn 0.108 0.608 0.000
Sn 0.392 0.108 0.000
Sn 0.608 0.892 0.000
Sn 0.892 0.392 0.000


No. 5
An optimized crystal structure of CsNa10Sn2, computed with PBE.

Properties
E_form: -1.2 eV per formula unit
Total DFT energy (no corrections): -46.528 eV for the cell shown
Size of the total moment: 0.0 μB per formula unit

a = 8.910 Å, b = 8.910 Å, c = 11.758 Å
α = 90.00°, β = 90.00°, γ = 97.57°
Element x y z (fractional)
Cs 0.130 0.870 0.750
Cs 0.870 0.130 0.250
Na 0.122 0.415 0.750
Na 0.167 0.833 0.089
Na 0.167 0.833 0.411
Na 0.220 0.476 0.250
Na 0.232 0.232 0.000
Na 0.232 0.232 0.500
Na 0.376 0.624 0.551
Na 0.376 0.624 0.949
Na 0.415 0.122 0.250
Na 0.476 0.220 0.750
Na 0.524 0.780 0.250
Na 0.585 0.878 0.750
Na 0.624 0.376 0.051
Na 0.624 0.376 0.449
Na 0.768 0.768 0.000
Na 0.768 0.768 0.500
Na 0.780 0.524 0.750
Na 0.833 0.167 0.589
Na 0.833 0.167 0.911
Na 0.878 0.585 0.250
Sn 0.000 0.500 0.000
Sn 0.000 0.500 0.500
Sn 0.500 0.000 0.000
Sn 0.500 0.000 0.500


No. 6
An optimized crystal structure of CsNa8Sn4, computed with PBE.

Properties
E_form: -1.7 eV per formula unit
Total DFT energy (no corrections): -29.090 eV for the cell shown
Size of the total moment: 0.0 μB per formula unit

a = 8.646 Å, b = 8.646 Å, c = 8.646 Å
α = 98.36°, β = 98.36°, γ = 135.16°
Element x y z (fractional)
Cs 0.000 0.000 0.000
Na 0.000 0.333 0.333
Na 0.000 0.667 0.667
Na 0.268 0.500 0.768
Na 0.333 0.000 0.333
Na 0.500 0.268 0.768
Na 0.500 0.732 0.232
Na 0.667 0.000 0.667
Na 0.732 0.500 0.232
Sn 0.000 0.000 0.500
Sn 0.000 0.500 0.000
Sn 0.500 0.000 0.000
Sn 0.500 0.500 0.500


No. 7
An optimized crystal structure of CsNa4Sn, computed with PBE.

Properties
Energy above the most stable polymorph in this dataset: 89 meV/atom
E_form: 0.1 eV per formula unit
Total DFT energy (no corrections): -10.006 eV for the cell shown
Size of the total moment: 0.0 μB per formula unit

a = 6.752 Å, b = 6.752 Å, c = 6.752 Å
α = 60.00°, β = 60.00°, γ = 60.00°
Element x y z (fractional)
Cs 0.000 0.000 0.000
Na 0.378 0.378 0.378
Na 0.378 0.378 0.867
Na 0.378 0.867 0.378
Na 0.867 0.378 0.378
Sn 0.750 0.750 0.750


No. 8
An optimized crystal structure of Cs2Na5Sn4, computed with PBE.

Properties
E_form: -1.5 eV per formula unit
Total DFT energy (no corrections): -25.817 eV for the cell shown
Size of the total moment: 0.0 μB per formula unit

a = 8.398 Å, b = 8.398 Å, c = 9.945 Å
α = 116.99°, β = 116.99°, γ = 52.97°
Element x y z (fractional)
Cs 0.249 0.249 0.130
Cs 0.751 0.751 0.870
Na 0.120 0.643 0.584
Na 0.357 0.880 0.416
Na 0.500 0.500 0.000
Na 0.643 0.120 0.584
Na 0.880 0.357 0.416
Sn 0.078 0.078 0.670
Sn 0.281 0.281 0.721
Sn 0.719 0.719 0.279
Sn 0.922 0.922 0.330


No. 9
An optimized crystal structure of CsNaSn4, computed with PBE.

Properties
Energy above the most stable polymorph in this dataset: 0 meV/atom
E_form: -0.3 eV per formula unit
Total DFT energy (no corrections): -18.524 eV for the cell shown
Size of the total moment: 0.0 μB per formula unit

a = 4.990 Å, b = 4.990 Å, c = 10.848 Å
α = 90.00°, β = 90.00°, γ = 120.00°
Element x y z (fractional)
Cs 0.000 0.000 0.000
Na 0.000 0.000 0.500
Sn 0.333 0.667 0.288
Sn 0.333 0.667 0.712
Sn 0.667 0.333 0.288
Sn 0.667 0.333 0.712


No. 10
An optimized crystal structure of CsNaSn2, computed with PBE.

Properties
E_form: -0.6 eV per formula unit
Total DFT energy (no corrections): -21.493 eV for the cell shown
Size of the total moment: 0.0 μB per formula unit

a = 5.519 Å, b = 8.663 Å, c = 7.842 Å
α = 90.00°, β = 110.50°, γ = 90.00°
Element x y z (fractional)
Cs 0.058 0.250 0.117
Cs 0.942 0.750 0.883
Na 0.340 0.250 0.680
Na 0.660 0.750 0.320
Sn 0.228 0.579 0.456
Sn 0.228 0.921 0.456
Sn 0.772 0.079 0.544
Sn 0.772 0.421 0.544


No. 11
An optimized crystal structure of CsNaSrSn, computed with PBE.

Properties
E_form: -0.8 eV per formula unit
Total DFT energy (no corrections): -34.561 eV for the cell shown
Size of the total moment: 0.0 μB per formula unit

a = 8.389 Å, b = 8.389 Å, c = 8.389 Å
α = 90.00°, β = 90.00°, γ = 90.00°
Element x y z (fractional)
Cs 0.000 0.000 0.000
Cs 0.000 0.500 0.500
Cs 0.500 0.000 0.500
Cs 0.500 0.500 0.000
Na 0.250 0.250 0.750
Na 0.250 0.750 0.250
Na 0.750 0.250 0.250
Na 0.750 0.750 0.750
Sr 0.250 0.250 0.250
Sr 0.250 0.750 0.750
Sr 0.750 0.250 0.750
Sr 0.750 0.750 0.250
Sn 0.000 0.000 0.500
Sn 0.000 0.500 0.000
Sn 0.500 0.000 0.000
Sn 0.500 0.500 0.500


No. 12
An optimized crystal structure of Cs2NaSn2Te4, computed with PBE.

Properties
Formation energy from raw total energies: -6.1 eV/f.u.
Total DFT energy (no corrections): -29.649 eV for the cell shown
Size of the total moment: 0.0 μB per formula unit

a = 8.504 Å, b = 8.504 Å, c = 8.191 Å
α = 103.56°, β = 103.56°, γ = 39.71°
Element x y z (fractional)
Cs 0.136 0.136 0.088
Cs 0.864 0.864 0.912
Na 0.000 0.000 0.500
Sn 0.355 0.355 0.442
Sn 0.645 0.645 0.558
Te 0.200 0.200 0.649
Te 0.492 0.492 0.747
Te 0.508 0.508 0.253
Te 0.800 0.800 0.351


No. 13
An optimized crystal structure of CsNaSnTe2, computed with PBE.

Properties
Formation energy from raw total energies: -3.4 eV/f.u.
Total DFT energy (no corrections): -31.652 eV for the cell shown
Size of the total moment: 0.0 μB per formula unit

a = 8.676 Å, b = 8.676 Å, c = 10.800 Å
α = 94.90°, β = 94.90°, γ = 35.31°
Element x y z (fractional)
Cs 0.164 0.164 0.174
Cs 0.836 0.836 0.826
Na 0.187 0.187 0.559
Na 0.813 0.813 0.441
Sn 0.439 0.439 0.300
Sn 0.561 0.561 0.700
Te 0.138 0.138 0.820
Te 0.376 0.376 0.552
Te 0.624 0.624 0.448
Te 0.862 0.862 0.180


No. 14
An optimized crystal structure of Cs2Na3Tl12Sn, computed with PBE.

Properties
E_form: 0.0 eV per formula unit
Total DFT energy (no corrections): -38.029 eV for the cell shown
Size of the total moment: 0.0 μB per formula unit

a = 12.600 Å, b = 12.600 Å, c = 12.600 Å
α = 37.61°, β = 37.61°, γ = 37.61°
Element x y z (fractional)
Cs 0.152 0.152 0.152
Cs 0.848 0.848 0.848
Na 0.000 0.500 0.500
Na 0.500 0.000 0.500
Na 0.500 0.500 0.000
Tl 0.082 0.082 0.692
Tl 0.082 0.692 0.082
Tl 0.142 0.573 0.573
Tl 0.308 0.918 0.918
Tl 0.427 0.427 0.858
Tl 0.427 0.858 0.427
Tl 0.573 0.142 0.573
Tl 0.573 0.573 0.142
Tl 0.692 0.082 0.082
Tl 0.858 0.427 0.427
Tl 0.918 0.308 0.918
Tl 0.918 0.918 0.308
Sn 0.500 0.500 0.500


No. 15
An optimized crystal structure of CsNaTl2Sn, computed with PBE.

Properties
E_form: 0.1 eV per formula unit
Total DFT energy (no corrections): -10.826 eV for the cell shown
Size of the total moment: 0.0 μB per formula unit

a = 6.055 Å, b = 6.055 Å, c = 5.974 Å
α = 90.00°, β = 90.00°, γ = 90.00°
Element x y z (fractional)
Cs 0.000 0.000 0.000
Na 0.500 0.500 0.000
Tl 0.000 0.500 0.500
Tl 0.500 0.000 0.500
Sn 0.500 0.500 0.500


No. 16
An optimized crystal structure of Cs2NaTl6Sn, computed with PBE.

Properties
E_form: 0.5 eV per formula unit
Total DFT energy (no corrections): -20.770 eV for the cell shown
Size of the total moment: 0.0 μB per formula unit

a = 8.519 Å, b = 8.519 Å, c = 8.519 Å
α = 60.00°, β = 60.00°, γ = 60.00°
Element x y z (fractional)
Cs 0.250 0.250 0.250
Cs 0.750 0.750 0.750
Na 0.000 0.000 0.000
Tl 0.255 0.255 0.745
Tl 0.255 0.745 0.255
Tl 0.255 0.745 0.745
Tl 0.745 0.255 0.255
Tl 0.745 0.255 0.745
Tl 0.745 0.745 0.255
Sn 0.500 0.500 0.500


No. 17
An optimized crystal structure of CsNa2ZnSn, computed with PBE.

Properties
Energy above the most stable polymorph in this dataset: 25 meV/atom
E_form: 0.0 eV per formula unit
Total DFT energy (no corrections): -8.722 eV for the cell shown
Size of the total moment: 0.0 μB per formula unit

a = 5.954 Å, b = 5.954 Å, c = 5.228 Å
α = 90.00°, β = 90.00°, γ = 90.00°
Element x y z (fractional)
Cs 0.000 0.000 0.000
Na 0.000 0.500 0.500
Na 0.500 0.000 0.500
Zn 0.500 0.500 0.500
Sn 0.500 0.500 0.000


No. 18
An optimized crystal structure of CsNa2ZnSn, computed with PBE.

Properties
Energy above the most stable polymorph in this dataset: 887 meV/atom
E_form: 4.4 eV per formula unit
Total DFT energy (no corrections): -4.408 eV for the cell shown
Size of the total moment: 2.3 μB per formula unit

a = 7.285 Å, b = 7.285 Å, c = 7.118 Å
α = 90.00°, β = 90.00°, γ = 90.00°
Element x y z (fractional)
Cs 0.000 0.000 0.000
Na 0.000 0.500 0.000
Na 0.500 0.000 0.000
Zn 0.500 0.500 0.500
Sn 0.000 0.000 0.500


No. 19
An optimized crystal structure of CsNa2ZnSn, computed with PBE.

Properties
Energy above the most stable polymorph in this dataset: 0 meV/atom
E_form: -0.1 eV per formula unit
Total DFT energy (no corrections): -8.845 eV for the cell shown
Size of the total moment: 0.0 μB per formula unit

a = 6.134 Å, b = 6.134 Å, c = 5.327 Å
α = 90.00°, β = 90.00°, γ = 90.00°
Element x y z (fractional)
Cs 0.000 0.000 0.000
Na 0.000 0.500 0.500
Na 0.500 0.000 0.500
Zn 0.500 0.500 0.000
Sn 0.500 0.500 0.500


No. 20
An optimized crystal structure of CsNa17Sr, computed with PBE.

Properties
E_form: 0.5 eV per formula unit
Total DFT energy (no corrections): -24.452 eV for the cell shown
Size of the total moment: 0.0 μB per formula unit

a = 9.338 Å, b = 9.338 Å, c = 9.338 Å
α = 81.90°, β = 81.90°, γ = 81.90°
Element x y z (fractional)
Cs 0.000 0.000 0.000
Na 0.043 0.348 0.636
Na 0.043 0.636 0.348
Na 0.204 0.686 0.686
Na 0.248 0.248 0.248
Na 0.344 0.344 0.843
Na 0.344 0.843 0.344
Na 0.348 0.043 0.636
Na 0.348 0.636 0.043
Na 0.442 0.442 0.442
Na 0.507 0.981 0.981
Na 0.636 0.043 0.348
Na 0.636 0.348 0.043
Na 0.686 0.204 0.686
Na 0.686 0.686 0.204
Na 0.843 0.344 0.344
Na 0.981 0.507 0.981
Na 0.981 0.981 0.507
Sr 0.671 0.671 0.671